No. 1
{"formula": "Rb3Tm2ScS6", "functional": "GGA-PBE", "state": "optimized geometry", "e_tot_ev_per_atom": -5.3803, "e_form_raw_ev_per_atom": -1.802, "lattice_angstrom": [[3.4434, -5.9639, 0.0000], [3.4434, 5.9639, 0.0000], [-2.2954, 0.0000, 7.6517]], "species": ["Rb", "Rb", "Rb", "Tm", "Tm", "Sc", "S", "S", "S", "S", "S", "S"], "fractional_positions": [[0.0000, 0.0000, 0.0000], [0.3322, 0.6678, 0.0000], [0.6678, 0.3322, 0.0000], [0.1665, 0.8335, 0.5000], [0.8335, 0.1665, 0.5000], [0.5000, 0.5000, 0.5000], [0.1131, 0.4376, 0.3129], [0.2380, 0.2380, 0.6877], [0.4376, 0.1131, 0.3129], [0.5624, 0.8869, 0.6871], [0.7620, 0.7620, 0.3123], [0.8869, 0.5624, 0.6871]]}

---

No. 2
{"formula": "Na3Tm3BiO8", "functional": "GGA-PBE", "state": "optimized geometry", "e_tot_ev_per_atom": -6.5271, "e_form_raw_ev_per_atom": -2.466, "lattice_angstrom": [[3.3914, 1.9580, 5.6266], [-3.3914, 1.9580, 5.6266], [0.0000, -3.9161, 5.6266]], "species": ["Na", "Na", "Na", "Tm", "Tm", "Tm", "Bi", "O", "O", "O", "O", "O", "O", "O", "O"], "fractional_positions": [[0.0000, 0.5000, 0.5000], [0.5000, 0.0000, 0.5000], [0.5000, 0.5000, 0.0000], [0.0000, 0.0000, 0.5000], [0.0000, 0.5000, 0.0000], [0.5000, 0.0000, 0.0000], [0.5000, 0.5000, 0.5000], [0.2341, 0.2341, 0.2341], [0.2369, 0.7340, 0.7340], [0.2660, 0.2660, 0.7631], [0.2660, 0.7631, 0.2660], [0.7340, 0.2369, 0.7340], [0.7340, 0.7340, 0.2369], [0.7631, 0.2660, 0.2660], [0.7659, 0.7659, 0.7659]]}

---

No. 3
{"formula": "KBa2Cl", "functional": "GGA-PBE", "state": "optimized geometry", "e_tot_ev_per_atom": -2.5266, "e_form_raw_ev_per_atom": -0.829, "lattice_angstrom": [[4.6014, 0.0000, 0.0000], [0.0000, 7.5199, 0.0000], [0.0000, 0.0000, 12.1699]], "species": ["K", "K", "Ba", "Ba", "Ba", "Ba", "Cl", "Cl"], "fractional_positions": [[0.0000, 0.0000, 0.0000], [0.5000, 0.5000, 0.0000], [0.0000, 0.0000, 0.3706], [0.0000, 0.5000, 0.6748], [0.5000, 0.0000, 0.6748], [0.5000, 0.5000, 0.3706], [0.0000, 0.5000, 0.1898], [0.5000, 0.0000, 0.1898]]}